Er3Ag3SnS8: relaxed, PBE.

abc: 13.445 7.852 7.808
angles: 90.00 124.83 90.00
Space group C2/m (No. 12)
Unique sites:
Er 0.000 0.000 0.000 [2 per cell]
Er 0.250 0.250 0.500 [4 per cell]
Ag 0.000 0.500 0.500 [2 per cell]
Ag 0.250 0.250 0.000 [4 per cell]
Sn 0.000 0.500 0.000 [2 per cell]
S 0.001 0.262 0.235 [8 per cell]
S 0.236 0.500 0.240 [4 per cell]
S 0.244 0.000 0.258 [4 per cell]

Values from the calculation:
Its crystal system is monoclinic. For the formation energy without anion corrections, the calculation gives -1.0886 eV/atom.

***

BaSm6Te8: relaxed, PBE.

abc: 12.0259 12.0259 14.5384
angles: 90.00 90.00 120.00
Space group R-3 (No. 148, hexagonal axes)
Unique sites:
Ba 0.0000 0.0000 0.0000 [3 per cell]
Sm 0.0186 0.1963 0.3906 [18 per cell]
Te 0.0000 0.0000 0.2447 [6 per cell]
Te 0.0139 0.3874 0.2524 [18 per cell]

Values from the calculation:
Its crystal system is trigonal. For the formation energy without anion corrections, the calculation gives -1.2708 eV/atom.

***

V2CrNi8: relaxed, PBE.

abc: 4.344 4.885 12.437
angles: 90.00 90.00 90.00
Space group Immm (No. 71)
Unique sites:
V 0.000 0.000 0.182 [4 per cell]
Cr 0.000 0.500 0.000 [2 per cell]
Ni 0.000 0.238 0.365 [8 per cell]
Ni 0.000 0.500 0.199 [4 per cell]
Ni 0.248 0.000 0.000 [4 per cell]

Values from the calculation:
The value obtained for the polymorph energy (0 for the lowest one) is 0.084 eV/atom. The formation energy comes out at 0.04 eV per atom. Its crystal system is orthorhombic.

***

LaScGa2Ir2: relaxed, PBE.

abc: 4.4165 4.4165 7.0248
angles: 90.00 90.00 120.00
Space group P-3m1 (No. 164)
Unique sites:
La 0.0000 0.0000 0.0000 [1 per cell]
Sc 0.0000 0.0000 0.5000 [1 per cell]
Ga 0.3333 0.6667 0.3027 [2 per cell]
Ir 0.3333 0.6667 0.7017 [2 per cell]

Values from the calculation:
The formation energy comes out at -0.81 eV per atom. Its crystal system is trigonal.

***

RbIn2Pt2: relaxed, PBE.

abc: 6.595 7.083 7.391
angles: 84.06 63.69 62.36
Space group P-1 (No. 2)
Unique sites:
Rb 0.126 0.250 0.250 [2 per cell]
In 0.226 0.121 0.719 [2 per cell]
In 0.433 0.620 0.220 [2 per cell]
Pt 0.230 0.795 0.963 [2 per cell]
Pt 0.488 0.706 0.537 [2 per cell]

Values from the calculation:
The value obtained for the polymorph energy (0 for the lowest one) is 0.000 eV/atom. The formation energy comes out at -0.37 eV per atom. Its crystal system is triclinic.

***

Cs4Rb5Au: relaxed, PBE.

abc: 24.473 5.037 14.502
angles: 90.00 100.36 90.00
Space group C2/m (No. 12)
Unique sites:
Cs 0.003 0.000 0.175 [4 per cell]
Cs 0.154 0.500 0.040 [4 per cell]
Rb 0.000 0.500 0.500 [2 per cell]
Rb 0.169 0.000 0.714 [4 per cell]
Rb 0.175 0.000 0.388 [4 per cell]
Au 0.000 0.500 0.000 [2 per cell]

Values from the calculation:
The formation energy comes out at -0.06 eV per atom. Its crystal system is monoclinic.

***

What did we get for V? Answer: 22.6 40.5 12.0 19.8 27.2 87.9 Å³/atom, in the order shown.
What did we get for DOS(E_F)? Answer: 0.68 3.98 10.82 4.54 2.16 8.93 states/eV/f.u., in the order shown.
What did we get for final energy? Answer: -75.6 -74.4 -73.6 -39.9 -20.4 -12.2 eV per formula unit, in the order shown.